Entry 1:
Computed, not measured: a relaxed GdThScGa crystal at the PBE level of DFT.

Results
For the total magnetic moment, the calculation gives 30.1 μB per cell. Its crystal system is cubic. Its calculated volume is 26.0 Å³/atom. Its formation enthalpy at 0 K is -0.102 eV per atom. Its density of states at the Fermi level is 18.91 states/eV/cell.

Structure (CIF):
```
data_GdThScGa
_chemical_formula_sum 'Gd4 Th4 Sc4 Ga4'
_cell_length_a 7.464
_cell_length_b 7.464
_cell_length_c 7.464
_cell_angle_alpha 90.00
_cell_angle_beta 90.00
_cell_angle_gamma 90.00
_symmetry_space_group_name_H-M 'F -4 3 m'
_symmetry_Int_Tables_number 216
_symmetry_space_group_name_Hall 'F -4 2 3'
loop_
_atom_site_label
_atom_site_fract_x
_atom_site_fract_y
_atom_site_fract_z
Gd1 0.000 0.000 0.000
Th1 0.000 0.000 0.500
Sc1 0.250 0.250 0.250
Ga1 0.250 0.250 0.750
```

=====

Entry 2:
Computed, not measured: a relaxed Mg2TiBr crystal at the PBE level of DFT.

Results
For the total magnetic moment, the calculation gives 10.6 μB per cell. Its energy relative to the lowest polymorph listed for this composition is 0 meV per atom. Its crystal system is tetragonal. Its calculated volume is 24.1 Å³/atom. Its density of states at the Fermi level is 13.93 states/eV/cell.

Structure (CIF):
```
data_Mg2TiBr
_chemical_formula_sum 'Mg8 Ti4 Br4'
_cell_length_a 8.067
_cell_length_b 8.067
_cell_length_c 5.923
_cell_angle_alpha 90.00
_cell_angle_beta 90.00
_cell_angle_gamma 90.00
_symmetry_space_group_name_H-M 'I -4 2 d'
_symmetry_Int_Tables_number 122
_symmetry_space_group_name_Hall 'I -4 2bw'
loop_
_atom_site_label
_atom_site_fract_x
_atom_site_fract_y
_atom_site_fract_z
Mg1 0.228 0.250 0.125
Ti1 0.000 0.000 0.500
Br1 0.000 0.000 0.000
```

=====

Entry 3:
Computed, not measured: a relaxed InPbBr crystal at the PBE level of DFT.

Results
For the total magnetic moment, the calculation gives 0.0 μB per cell. Its energy relative to the lowest polymorph listed for this composition is 303 meV per atom. Its crystal system is cubic. Its calculated volume is 35.8 Å³/atom. Its density of states at the Fermi level is 14.82 states/eV/cell.

Structure (CIF):
```
data_InPbBr
_chemical_formula_sum 'In4 Pb4 Br4'
_cell_length_a 7.548
_cell_length_b 7.548
_cell_length_c 7.548
_cell_angle_alpha 90.00
_cell_angle_beta 90.00
_cell_angle_gamma 90.00
_symmetry_space_group_name_H-M 'F -4 3 m'
_symmetry_Int_Tables_number 216
_symmetry_space_group_name_Hall 'F -4 2 3'
loop_
_atom_site_label
_atom_site_fract_x
_atom_site_fract_y
_atom_site_fract_z
In1 0.000 0.000 0.000
Pb1 0.250 0.250 0.250
Br1 0.000 0.000 0.500
```